DFT (PBE) results for a relaxed LaSmPt2 crystal.

Output
E   -6.51 eV/atom

Lattice parameters (Å, degrees): 5.1169 5.1169 5.1169 60.00 60.00 60.00
Fractional positions:
La1 0.0000 0.0000 0.0000
Sm1 0.5000 0.5000 0.5000
Pt1 0.2500 0.2500 0.2500
Pt2 0.7500 0.7500 0.7500